Record 1
! BaLiSbN2 GGA-PBE optimized geometry; values from VASP
! Total moment, μB per cell: 0.00
! Raw formation energy, kJ per mole of atoms: 50.4
&SYSTEM
  ibrav = 0, nat = 5, ntyp = 4
/
ATOMIC_SPECIES
Ba 137.33 Ba.upf
Li 6.94 Li.upf
Sb 121.76 Sb.upf
N 14.01 N.upf
ATOMIC_POSITIONS crystal
Ba 0.000 0.000 0.000
Li 0.500 0.500 0.000
Sb 0.500 0.500 0.500
N 0.000 0.500 0.500
N 0.500 0.000 0.500
CELL_PARAMETERS angstrom
4.477 0.000 0.000
0.000 4.477 0.000
0.000 0.000 4.632

Record 2
! Cd2CuRe GGA-PBE optimized geometry; values from VASP
! Total moment, μB per cell: 1.74
! E above lowest polymorph, kcal/mol of atoms: 8.85
! Energy of formation from the pure elements, meV/atom: 776
&SYSTEM
  ibrav = 0, nat = 4, ntyp = 3
/
ATOMIC_SPECIES
Cd 112.41 Cd.upf
Cu 63.55 Cu.upf
Re 186.21 Re.upf
ATOMIC_POSITIONS crystal
Cd 0.250 0.250 0.250
Cd 0.750 0.750 0.750
Cu 0.000 0.000 0.000
Re 0.500 0.500 0.500
CELL_PARAMETERS angstrom
0.000 3.263 3.263
3.263 0.000 3.263
3.263 3.263 0.000

Record 3
! LiZnRh GGA-PBE optimized geometry; values from VASP
! Total moment, μB per cell: 0.18
! E above lowest polymorph, kcal/mol of atoms: 4.19
! Energy of formation from the pure elements, meV/atom: -139
&SYSTEM
  ibrav = 0, nat = 3, ntyp = 3
/
ATOMIC_SPECIES
Li 6.94 Li.upf
Zn 65.41 Zn.upf
Rh 102.91 Rh.upf
ATOMIC_POSITIONS crystal
Li 0.000 0.000 0.000
Zn 0.500 0.000 0.500
Rh 0.000 0.500 0.500
CELL_PARAMETERS angstrom
4.190 0.000 0.000
0.000 2.813 0.000
-0.023 0.000 4.422

Record 4
! NbSeI GGA-PBE optimized geometry; values from VASP
! Total moment, μB per cell: 0.00
! Raw formation energy, kJ per mole of atoms: -55.1
&SYSTEM
  ibrav = 0, nat = 6, ntyp = 3
/
ATOMIC_SPECIES
Nb 92.91 Nb.upf
Se 78.96 Se.upf
I 126.90 I.upf
ATOMIC_POSITIONS crystal
Nb 0.157 0.157 0.464
Nb 0.843 0.843 0.536
Se 0.359 0.359 0.749
Se 0.641 0.641 0.251
I 0.095 0.095 0.758
I 0.905 0.905 0.242
CELL_PARAMETERS angstrom
6.677 -1.960 0.000
6.677 1.960 0.000
-3.748 0.000 7.022

Record 5
! CaSc2Si GGA-PBE optimized geometry; values from VASP
! Total moment, μB per cell: 0.00
! Raw formation energy, kJ per mole of atoms: -2.4
&SYSTEM
  ibrav = 0, nat = 4, ntyp = 3
/
ATOMIC_SPECIES
Ca 40.08 Ca.upf
Sc 44.96 Sc.upf
Si 28.09 Si.upf
ATOMIC_POSITIONS crystal
Ca 0.000 0.000 0.000
Sc 0.116 0.116 0.116
Sc 0.884 0.884 0.884
Si 0.500 0.500 0.500
CELL_PARAMETERS angstrom
1.876 1.083 9.835
-1.876 1.083 9.835
0.000 -2.166 9.835

Record 6
! PaAlRu2 GGA-PBE optimized geometry; values from VASP
! Total moment, μB per cell: 0.00
! Energy of formation from the pure elements, meV/atom: -670
&SYSTEM
  ibrav = 0, nat = 4, ntyp = 3
/
ATOMIC_SPECIES
Pa 231.04 Pa.upf
Al 26.98 Al.upf
Ru 101.07 Ru.upf
ATOMIC_POSITIONS crystal
Pa 0.000 0.000 0.000
Al 0.500 0.500 0.000
Ru 0.000 0.500 0.500
Ru 0.500 0.000 0.500
CELL_PARAMETERS angstrom
4.366 0.000 0.000
0.000 4.366 0.000
0.000 0.000 3.567

Record 7
! MoW2Br GGA-PBE optimized geometry; values from VASP
! Total moment, μB per cell: 0.32
! E above lowest polymorph, kcal/mol of atoms: 16.37
! Raw formation energy, kJ per mole of atoms: 119.9
&SYSTEM
  ibrav = 0, nat = 4, ntyp = 3
/
ATOMIC_SPECIES
Mo 95.94 Mo.upf
W 183.84 W.upf
Br 79.90 Br.upf
ATOMIC_POSITIONS crystal
Mo 0.000 0.000 0.000
W 0.250 0.750 0.500
W 0.750 0.250 0.500
Br 0.500 0.500 0.000
CELL_PARAMETERS angstrom
-1.902 1.902 4.641
1.902 -1.902 4.641
1.902 1.902 -4.641

Record 8
! TbPr2Ho6Tm3 GGA-PBE optimized geometry; values from VASP
! Total moment, μB per cell: 0.00
! Energy of formation from the pure elements, meV/atom: 23
&SYSTEM
  ibrav = 0, nat = 12, ntyp = 4
/
ATOMIC_SPECIES
Tb 158.93 Tb.upf
Pr 140.91 Pr.upf
Ho 164.93 Ho.upf
Tm 168.93 Tm.upf
ATOMIC_POSITIONS crystal
Tb 0.000 0.000 0.000
Pr 0.333 0.667 0.000
Pr 0.667 0.333 0.000
Ho 0.086 0.418 0.255
Ho 0.247 0.247 0.745
Ho 0.418 0.086 0.255
Ho 0.582 0.914 0.745
Ho 0.753 0.753 0.255
Ho 0.914 0.582 0.745
Tm 0.166 0.834 0.500
Tm 0.500 0.500 0.500
Tm 0.834 0.166 0.500
CELL_PARAMETERS angstrom
3.077 -5.324 0.000
3.077 5.324 0.000
-2.045 0.000 11.572

Record 9
! BeTlRh2 GGA-PBE optimized geometry; values from VASP
! Total moment, μB per cell: 0.00
! E above lowest polymorph, kcal/mol of atoms: 2.81
! Energy of formation from the pure elements, meV/atom: -15
&SYSTEM
  ibrav = 0, nat = 4, ntyp = 3
/
ATOMIC_SPECIES
Be 9.01 Be.upf
Tl 204.38 Tl.upf
Rh 102.91 Rh.upf
ATOMIC_POSITIONS crystal
Be 0.000 0.000 0.000
Tl 0.500 0.500 0.000
Rh 0.204 0.704 0.500
Rh 0.796 0.296 0.500
CELL_PARAMETERS angstrom
-1.631 2.338 3.906
1.631 -2.338 3.906
1.631 2.338 -3.906

Record 10
! AcLaPm2Sm5 GGA-PBE optimized geometry; values from VASP
! Total moment, μB per cell: 0.00
! Energy of formation from the pure elements, meV/atom: 226
&SYSTEM
  ibrav = 0, nat = 18, ntyp = 4
/
ATOMIC_SPECIES
Ac 227.00 Ac.upf
La 138.91 La.upf
Pm 145.00 Pm.upf
Sm 150.36 Sm.upf
ATOMIC_POSITIONS crystal
Ac 0.250 0.250 0.000
Ac 0.750 0.750 0.000
La 0.250 0.750 0.500
La 0.750 0.250 0.500
Pm 0.119 0.619 0.738
Pm 0.381 0.119 0.500
Pm 0.619 0.881 0.500
Pm 0.881 0.381 0.262
Sm 0.000 0.000 0.000
Sm 0.069 0.169 0.500
Sm 0.169 0.669 0.099
Sm 0.331 0.431 0.500
Sm 0.431 0.931 0.099
Sm 0.500 0.500 0.000
Sm 0.569 0.069 0.901
Sm 0.669 0.569 0.500
Sm 0.831 0.331 0.901
Sm 0.931 0.831 0.500
CELL_PARAMETERS angstrom
-4.477 4.477 8.025
4.477 -4.477 8.025
4.477 4.477 -8.025

Record 11
! Mg3TiAu12 GGA-PBE optimized geometry; values from VASP
! Total moment, μB per cell: 1.21
! Energy of formation from the pure elements, meV/atom: -322
&SYSTEM
  ibrav = 0, nat = 16, ntyp = 3
/
ATOMIC_SPECIES
Mg 24.30 Mg.upf
Ti 47.87 Ti.upf
Au 196.97 Au.upf
ATOMIC_POSITIONS crystal
Mg 0.000 0.000 0.000
Mg 0.000 0.000 0.250
Mg 0.000 0.000 0.750
Ti 0.000 0.000 0.500
Au 0.000 0.500 0.126
Au 0.000 0.500 0.378
Au 0.000 0.500 0.622
Au 0.000 0.500 0.874
Au 0.500 0.000 0.126
Au 0.500 0.000 0.378
Au 0.500 0.000 0.622
Au 0.500 0.000 0.874
Au 0.500 0.500 0.000
Au 0.500 0.500 0.252
Au 0.500 0.500 0.500
Au 0.500 0.500 0.748
CELL_PARAMETERS angstrom
4.173 0.000 0.000
0.000 4.173 0.000
0.000 0.000 16.386

Record 12
! Tl2Sn2Hg4Pb3 GGA-PBE optimized geometry; values from VASP
! Total moment, μB per cell: 0.00
! Energy of formation from the pure elements, meV/atom: 43
&SYSTEM
  ibrav = 0, nat = 11, ntyp = 4
/
ATOMIC_SPECIES
Tl 204.38 Tl.upf
Sn 118.71 Sn.upf
Hg 200.59 Hg.upf
Pb 207.20 Pb.upf
ATOMIC_POSITIONS crystal
Tl 0.333 0.667 0.078
Tl 0.667 0.333 0.922
Sn 0.333 0.667 0.602
Sn 0.667 0.333 0.398
Hg 0.333 0.667 0.337
Hg 0.333 0.667 0.845
Hg 0.667 0.333 0.155
Hg 0.667 0.333 0.663
Pb 0.000 0.000 0.248
Pb 0.000 0.000 0.500
Pb 0.000 0.000 0.752
CELL_PARAMETERS angstrom
5.206 0.000 0.000
-2.603 4.508 0.000
0.000 0.000 14.065

Record 13
! NdLu2Pb GGA-PBE optimized geometry; values from VASP
! Total moment, μB per cell: 0.00
! E above lowest polymorph, kcal/mol of atoms: 1.56
! Energy of formation from the pure elements, meV/atom: -184
&SYSTEM
  ibrav = 0, nat = 4, ntyp = 3
/
ATOMIC_SPECIES
Nd 144.24 Nd.upf
Lu 174.97 Lu.upf
Pb 207.20 Pb.upf
ATOMIC_POSITIONS crystal
Nd 0.000 0.000 0.000
Lu 0.500 0.500 0.269
Lu 0.500 0.500 0.731
Pb 0.000 0.000 0.500
CELL_PARAMETERS angstrom
3.647 0.000 0.000
0.000 3.647 0.000
0.000 0.000 9.047